1.
# PmInAu6

A geometry-optimized PmInAu6 structure (PBE, Alexandria via LeMat-Bulk). Values from VASP.

Cell and atoms, written as Quantum ESPRESSO input:
```
&SYSTEM
  ibrav = 0, nat = 8, ntyp = 3
/
ATOMIC_SPECIES
Pm 145.00 Pm.upf
In 114.82 In.upf
Au 196.97 Au.upf
CELL_PARAMETERS angstrom
5.488 0.000 0.000
0.000 5.488 0.000
0.000 0.000 5.488
ATOMIC_POSITIONS crystal
Pm 0.000 0.000 0.000
In 0.500 0.500 0.500
Au 0.000 0.252 0.500
Au 0.000 0.748 0.500
Au 0.252 0.500 0.000
Au 0.500 0.000 0.252
Au 0.500 0.000 0.748
Au 0.748 0.500 0.000
```

Computed properties:
Total DFT energy (no corrections)   -0.2747 Ry/atom
Symmetry   Pm-3 (200)
Polymorph energy (0 for the lowest one)   17 meV per atom
DFT formation energy   -343 meV per atom
Volume   20.66 Å³/atom

=====

2.
# YNb2AsI

A geometry-optimized YNb2AsI structure (PBE, Alexandria via LeMat-Bulk). Values from VASP.

Cell and atoms, written as Quantum ESPRESSO input:
```
&SYSTEM
  ibrav = 0, nat = 5, ntyp = 4
/
ATOMIC_SPECIES
Y 88.91 Y.upf
Nb 92.91 Nb.upf
As 74.92 As.upf
I 126.90 I.upf
CELL_PARAMETERS angstrom
5.029 0.000 0.000
0.000 5.029 0.000
0.000 0.000 5.504
ATOMIC_POSITIONS crystal
Y 0.000 0.000 0.000
Nb 0.000 0.500 0.500
Nb 0.500 0.000 0.500
As 0.500 0.500 0.000
I 0.500 0.500 0.500
```

Computed properties:
Total DFT energy (no corrections)   -0.3915 Ry/atom
E_form (uncorrected)   1.23 eV per atom
Symmetry   P4/mmm (123)
Volume   27.84 Å³/atom

=====

3.
# NaInGe2O6

A geometry-optimized NaInGe2O6 structure (PBE, Alexandria via LeMat-Bulk). Values from VASP.

Cell and atoms, written as Quantum ESPRESSO input:
```
&SYSTEM
  ibrav = 0, nat = 20, ntyp = 4
/
ATOMIC_SPECIES
Na 22.99 Na.upf
In 114.82 In.upf
Ge 72.64 Ge.upf
O 16.00 O.upf
CELL_PARAMETERS angstrom
5.202 -4.651 0.000
5.202 4.651 0.000
-1.683 0.000 5.426
ATOMIC_POSITIONS crystal
Na 0.195 0.805 0.750
Na 0.805 0.195 0.250
In 0.398 0.602 0.250
In 0.602 0.398 0.750
Ge 0.119 0.300 0.757
Ge 0.300 0.119 0.257
Ge 0.700 0.881 0.743
Ge 0.881 0.700 0.243
O 0.117 0.599 0.335
O 0.120 0.162 0.988
O 0.162 0.120 0.488
O 0.306 0.470 0.857
O 0.401 0.883 0.165
O 0.470 0.306 0.357
O 0.530 0.694 0.643
O 0.599 0.117 0.835
O 0.694 0.530 0.143
O 0.838 0.880 0.512
O 0.880 0.838 0.012
O 0.883 0.401 0.665
```

Computed properties:
Total DFT energy (no corrections)   -0.4421 Ry/atom
E_form (uncorrected)   -1.71 eV per atom
Symmetry   C2/c (15)
Polymorph energy (0 for the lowest one)   0 meV per atom
Volume   13.13 Å³/atom

=====

4.
# MgAl2Au

A geometry-optimized MgAl2Au structure (PBE, Alexandria via LeMat-Bulk). Values from VASP.

Cell and atoms, written as Quantum ESPRESSO input:
```
&SYSTEM
  ibrav = 0, nat = 4, ntyp = 3
/
ATOMIC_SPECIES
Mg 24.30 Mg.upf
Al 26.98 Al.upf
Au 196.97 Au.upf
CELL_PARAMETERS angstrom
1.568 0.905 8.698
-1.568 0.905 8.698
0.000 -1.811 8.698
ATOMIC_POSITIONS crystal
Mg 0.000 0.000 0.000
Al 0.244 0.244 0.244
Al 0.756 0.756 0.756
Au 0.500 0.500 0.500
```

Computed properties:
Total DFT energy (no corrections)   -0.2392 Ry/atom
Symmetry   R-3m (166)
DFT formation energy   -165 meV per atom
Volume   18.52 Å³/atom

=====

5.
# Sr2AlF8

A geometry-optimized Sr2AlF8 structure (PBE, Alexandria via LeMat-Bulk). Values from VASP.

Cell and atoms, written as Quantum ESPRESSO input:
```
&SYSTEM
  ibrav = 0, nat = 11, ntyp = 3
/
ATOMIC_SPECIES
Sr 87.62 Sr.upf
Al 26.98 Al.upf
F 19.00 F.upf
CELL_PARAMETERS angstrom
7.560 -2.106 0.000
7.560 2.106 0.000
-1.520 0.000 4.550
ATOMIC_POSITIONS crystal
Sr 0.164 0.164 0.164
Sr 0.836 0.836 0.836
Al 0.500 0.500 0.500
F 0.000 0.000 0.276
F 0.000 0.000 0.724
F 0.230 0.230 0.730
F 0.405 0.405 0.164
F 0.406 0.406 0.651
F 0.594 0.594 0.349
F 0.595 0.595 0.836
F 0.770 0.770 0.270
```

Computed properties:
Total DFT energy (no corrections)   -0.3893 Ry/atom
E_form (uncorrected)   -3.29 eV per atom
Symmetry   C2/m (12)
Polymorph energy (0 for the lowest one)   0 meV per atom
Volume   13.17 Å³/atom

=====

6.
# CaTlAuSe

A geometry-optimized CaTlAuSe structure (PBE, Alexandria via LeMat-Bulk). Values from VASP.

Cell and atoms, written as Quantum ESPRESSO input:
```
&SYSTEM
  ibrav = 0, nat = 4, ntyp = 4
/
ATOMIC_SPECIES
Ca 40.08 Ca.upf
Tl 204.38 Tl.upf
Au 196.97 Au.upf
Se 78.96 Se.upf
CELL_PARAMETERS angstrom
2.128 1.229 7.408
-2.128 1.229 7.408
0.000 -2.457 7.408
ATOMIC_POSITIONS crystal
Ca 0.000 0.000 0.000
Tl 0.162 0.162 0.162
Au 0.582 0.582 0.582
Se 0.404 0.404 0.404
```

Computed properties:
Total DFT energy (no corrections)   -0.2619 Ry/atom
E_form (uncorrected)   -0.78 eV per atom
Symmetry   R3m (160)
Polymorph energy (0 for the lowest one)   70 meV per atom
Volume   29.04 Å³/atom

=====

7.
# Tb2LuMg

A geometry-optimized Tb2LuMg structure (PBE, Alexandria via LeMat-Bulk). Values from VASP.

Cell and atoms, written as Quantum ESPRESSO input:
```
&SYSTEM
  ibrav = 0, nat = 4, ntyp = 3
/
ATOMIC_SPECIES
Tb 158.93 Tb.upf
Lu 174.97 Lu.upf
Mg 24.30 Mg.upf
CELL_PARAMETERS angstrom
5.478 0.000 0.000
0.000 5.478 0.000
0.000 0.000 3.876
ATOMIC_POSITIONS crystal
Tb 0.000 0.500 0.000
Tb 0.500 0.000 0.000
Lu 0.000 0.000 0.500
Mg 0.500 0.500 0.500
```

Computed properties:
Total DFT energy (no corrections)   -0.2806 Ry/atom
Symmetry   P4/mmm (123)
Polymorph energy (0 for the lowest one)   48 meV per atom
DFT formation energy   27 meV per atom
Volume   29.08 Å³/atom

=====

8.
# LaCuSb

A geometry-optimized LaCuSb structure (PBE, Alexandria via LeMat-Bulk). Values from VASP.

Cell and atoms, written as Quantum ESPRESSO input:
```
&SYSTEM
  ibrav = 0, nat = 3, ntyp = 3
/
ATOMIC_SPECIES
La 138.91 La.upf
Cu 63.55 Cu.upf
Sb 121.76 Sb.upf
CELL_PARAMETERS angstrom
4.440 0.000 0.000
-2.220 3.845 0.000
0.000 0.000 4.391
ATOMIC_POSITIONS crystal
La 0.000 0.000 0.000
Cu 0.333 0.667 0.500
Sb 0.667 0.333 0.500
```

Computed properties:
Total DFT energy (no corrections)   -0.3798 Ry/atom
E_form (uncorrected)   -0.79 eV per atom
Symmetry   P-6m2 (187)
Volume   24.99 Å³/atom

=====

9.
# K2ScCu2O4

A geometry-optimized K2ScCu2O4 structure (PBE, Alexandria via LeMat-Bulk). Values from VASP.

Cell and atoms, written as Quantum ESPRESSO input:
```
&SYSTEM
  ibrav = 0, nat = 9, ntyp = 4
/
ATOMIC_SPECIES
K 39.10 K.upf
Sc 44.96 Sc.upf
Cu 63.55 Cu.upf
O 16.00 O.upf
CELL_PARAMETERS angstrom
6.553 -1.621 0.000
6.553 1.621 0.000
-2.100 0.000 6.109
ATOMIC_POSITIONS crystal
K 0.124 0.124 0.047
K 0.876 0.876 0.953
Sc 0.000 0.000 0.500
Cu 0.314 0.314 0.465
Cu 0.686 0.686 0.535
O 0.179 0.179 0.687
O 0.472 0.472 0.696
O 0.528 0.528 0.304
O 0.821 0.821 0.313
```

Computed properties:
Total DFT energy (no corrections)   -0.4107 Ry/atom
E_form (uncorrected)   -1.53 eV per atom
Symmetry   C2/m (12)
Volume   14.42 Å³/atom

=====

10.
# Y2Co

A geometry-optimized Y2Co structure (PBE, Alexandria via LeMat-Bulk). Values from VASP.

Cell and atoms, written as Quantum ESPRESSO input:
```
&SYSTEM
  ibrav = 0, nat = 6, ntyp = 2
/
ATOMIC_SPECIES
Y 88.91 Y.upf
Co 58.93 Co.upf
CELL_PARAMETERS angstrom
1.755 -7.709 0.000
1.755 7.709 0.000
0.000 0.000 5.160
ATOMIC_POSITIONS crystal
Y 0.069 0.931 0.750
Y 0.208 0.792 0.250
Y 0.792 0.208 0.750
Y 0.931 0.069 0.250
Co 0.428 0.572 0.750
Co 0.572 0.428 0.250
```

Computed properties:
Total DFT energy (no corrections)   -0.4947 Ry/atom
Symmetry   Cmcm (63)
DFT formation energy   -53 meV per atom
Volume   23.27 Å³/atom

=====

11.
# TbCo4Ge12

A geometry-optimized TbCo4Ge12 structure (PBE, Alexandria via LeMat-Bulk). Values from VASP.

Cell and atoms, written as Quantum ESPRESSO input:
```
&SYSTEM
  ibrav = 0, nat = 17, ntyp = 3
/
ATOMIC_SPECIES
Tb 158.93 Tb.upf
Co 58.93 Co.upf
Ge 72.64 Ge.upf
CELL_PARAMETERS angstrom
-4.189 4.189 4.189
4.189 -4.189 4.189
4.189 4.189 -4.189
ATOMIC_POSITIONS crystal
Tb 0.000 0.000 0.000
Co 0.000 0.000 0.500
Co 0.000 0.500 0.000
Co 0.500 0.000 0.000
Co 0.500 0.500 0.500
Ge 0.164 0.342 0.506
Ge 0.164 0.658 0.822
Ge 0.178 0.836 0.342
Ge 0.342 0.178 0.836
Ge 0.342 0.506 0.164
Ge 0.494 0.836 0.658
Ge 0.506 0.164 0.342
Ge 0.658 0.494 0.836
Ge 0.658 0.822 0.164
Ge 0.822 0.164 0.658
Ge 0.836 0.342 0.178
Ge 0.836 0.658 0.494
```

Computed properties:
Total DFT energy (no corrections)   -0.3910 Ry/atom
Symmetry   Im-3 (204)
DFT formation energy   -116 meV per atom
Volume   17.30 Å³/atom

=====

12.
# SrSiHg2

A geometry-optimized SrSiHg2 structure (PBE, Alexandria via LeMat-Bulk). Values from VASP.

Cell and atoms, written as Quantum ESPRESSO input:
```
&SYSTEM
  ibrav = 0, nat = 4, ntyp = 3
/
ATOMIC_SPECIES
Sr 87.62 Sr.upf
Si 28.09 Si.upf
Hg 200.59 Hg.upf
CELL_PARAMETERS angstrom
-2.354 2.938 3.920
2.354 -2.938 3.920
2.354 2.938 -3.920
ATOMIC_POSITIONS crystal
Sr 0.000 0.000 0.000
Si 0.706 0.206 0.500
Hg 0.288 0.788 0.500
Hg 0.561 0.561 0.000
```

Computed properties:
Total DFT energy (no corrections)   -0.1509 Ry/atom
E_form (uncorrected)   -0.13 eV per atom
Symmetry   Imm2 (44)
Volume   27.11 Å³/atom

=====

13.
# Rb2HfTl

A geometry-optimized Rb2HfTl structure (PBE, Alexandria via LeMat-Bulk). Values from VASP.

Cell and atoms, written as Quantum ESPRESSO input:
```
&SYSTEM
  ibrav = 0, nat = 4, ntyp = 3
/
ATOMIC_SPECIES
Rb 85.47 Rb.upf
Hf 178.49 Hf.upf
Tl 204.38 Tl.upf
CELL_PARAMETERS angstrom
0.000 4.326 4.326
4.326 0.000 4.326
4.326 4.326 0.000
ATOMIC_POSITIONS crystal
Rb 0.250 0.250 0.250
Rb 0.750 0.750 0.750
Hf 0.000 0.000 0.000
Tl 0.500 0.500 0.500
```

Computed properties:
Total DFT energy (no corrections)   -0.1782 Ry/atom
Symmetry   Fm-3m (225)
Polymorph energy (0 for the lowest one)   247 meV per atom
DFT formation energy   1140 meV per atom
Volume   40.48 Å³/atom

=====

14.
# LiBeCd2Cu

A geometry-optimized LiBeCd2Cu structure (PBE, Alexandria via LeMat-Bulk). Values from VASP.

Cell and atoms, written as Quantum ESPRESSO input:
```
&SYSTEM
  ibrav = 0, nat = 5, ntyp = 4
/
ATOMIC_SPECIES
Li 6.94 Li.upf
Be 9.01 Be.upf
Cd 112.41 Cd.upf
Cu 63.55 Cu.upf
CELL_PARAMETERS angstrom
4.651 0.000 0.000
0.000 4.651 0.000
0.000 0.000 4.258
ATOMIC_POSITIONS crystal
Li 0.000 0.000 0.000
Be 0.500 0.500 0.500
Cd 0.000 0.500 0.500
Cd 0.500 0.000 0.500
Cu 0.500 0.500 0.000
```

Computed properties:
Total DFT energy (no corrections)   -0.1556 Ry/atom
Symmetry   P4/mmm (123)
DFT formation energy   196 meV per atom
Volume   18.42 Å³/atom

=====

15.
# MnZn2Re

A geometry-optimized MnZn2Re structure (PBE, Alexandria via LeMat-Bulk). Values from VASP.

Cell and atoms, written as Quantum ESPRESSO input:
```
&SYSTEM
  ibrav = 0, nat = 4, ntyp = 3
/
ATOMIC_SPECIES
Mn 54.94 Mn.upf
Zn 65.41 Zn.upf
Re 186.21 Re.upf
CELL_PARAMETERS angstrom
-1.860 1.860 4.030
1.860 -1.860 4.030
1.860 1.860 -4.030
ATOMIC_POSITIONS crystal
Mn 0.000 0.000 0.000
Zn 0.250 0.750 0.500
Zn 0.750 0.250 0.500
Re 0.500 0.500 0.000
```

Computed properties:
Total DFT energy (no corrections)   -0.4279 Ry/atom
Symmetry   I4/mmm (139)
Polymorph energy (0 for the lowest one)   164 meV per atom
DFT formation energy   220 meV per atom
Volume   13.94 Å³/atom

=====

16.
# ZrCu2Si

A geometry-optimized ZrCu2Si structure (PBE, Alexandria via LeMat-Bulk). Values from VASP.

Cell and atoms, written as Quantum ESPRESSO input:
```
&SYSTEM
  ibrav = 0, nat = 8, ntyp = 3
/
ATOMIC_SPECIES
Zr 91.22 Zr.upf
Cu 63.55 Cu.upf
Si 28.09 Si.upf
CELL_PARAMETERS angstrom
-1.900 1.900 9.105
1.900 -1.900 9.105
1.900 1.900 -9.105
ATOMIC_POSITIONS crystal
Zr 0.000 0.000 0.000
Zr 0.750 0.250 0.500
Cu 0.169 0.625 0.044
Cu 0.375 0.419 0.544
Cu 0.581 0.125 0.956
Cu 0.875 0.831 0.456
Si 0.250 0.750 0.500
Si 0.500 0.500 0.000
```

Computed properties:
Total DFT energy (no corrections)   -0.4090 Ry/atom
E_form (uncorrected)   -0.02 eV per atom
Symmetry   I-42d (122)
Volume   16.43 Å³/atom

=====

17.
# Mg2HgAu4

A geometry-optimized Mg2HgAu4 structure (PBE, Alexandria via LeMat-Bulk). Values from VASP.

Cell and atoms, written as Quantum ESPRESSO input:
```
&SYSTEM
  ibrav = 0, nat = 7, ntyp = 3
/
ATOMIC_SPECIES
Mg 24.30 Mg.upf
Hg 200.59 Hg.upf
Au 196.97 Au.upf
CELL_PARAMETERS angstrom
-2.602 2.602 6.859
2.602 -2.602 6.859
2.602 2.602 -6.859
ATOMIC_POSITIONS crystal
Mg 0.110 0.110 0.000
Mg 0.890 0.890 0.000
Hg 0.500 0.500 0.000
Au 0.000 0.500 0.500
Au 0.295 0.295 0.000
Au 0.500 0.000 0.500
Au 0.705 0.705 0.000
```

Computed properties:
Total DFT energy (no corrections)   -0.1609 Ry/atom
Symmetry   I4/mmm (139)
DFT formation energy   182 meV per atom
Volume   26.53 Å³/atom

=====

18.
# Pm5YSn6

A geometry-optimized Pm5YSn6 structure (PBE, Alexandria via LeMat-Bulk). Values from VASP.

Cell and atoms, written as Quantum ESPRESSO input:
```
&SYSTEM
  ibrav = 0, nat = 12, ntyp = 3
/
ATOMIC_SPECIES
Pm 145.00 Pm.upf
Y 88.91 Y.upf
Sn 118.71 Sn.upf
CELL_PARAMETERS angstrom
2.913 -7.200 0.000
2.913 7.200 0.000
-1.755 0.000 8.446
ATOMIC_POSITIONS crystal
Pm 0.000 0.000 0.000
Pm 0.330 0.670 0.000
Pm 0.336 0.664 0.500
Pm 0.664 0.336 0.500
Pm 0.670 0.330 0.000
Y 0.000 0.000 0.500
Sn 0.160 0.831 0.254
Sn 0.169 0.840 0.746
Sn 0.482 0.482 0.753
Sn 0.518 0.518 0.247
Sn 0.831 0.160 0.254
Sn 0.840 0.169 0.746
```

Computed properties:
Total DFT energy (no corrections)   -0.3799 Ry/atom
Symmetry   C2/m (12)
DFT formation energy   -650 meV per atom
Volume   29.53 Å³/atom

=====

19.
# TaAsSe

A geometry-optimized TaAsSe structure (PBE, Alexandria via LeMat-Bulk). Values from VASP.

Cell and atoms, written as Quantum ESPRESSO input:
```
&SYSTEM
  ibrav = 0, nat = 3, ntyp = 3
/
ATOMIC_SPECIES
Ta 180.95 Ta.upf
As 74.92 As.upf
Se 78.96 Se.upf
CELL_PARAMETERS angstrom
-1.549 1.549 6.618
1.549 -1.549 6.618
1.549 1.549 -6.618
ATOMIC_POSITIONS crystal
Ta 0.000 0.000 0.000
As 0.356 0.356 0.000
Se 0.615 0.615 0.000
```

Computed properties:
Total DFT energy (no corrections)   -0.5105 Ry/atom
E_form (uncorrected)   -0.28 eV per atom
Symmetry   I4mm (107)
Volume   21.18 Å³/atom